Record 1
First-principles (PBE-GGA) data for crystalline HoTeRu at its relaxed geometry, as listed in Alexandria.

abc: 11.544 3.488 3.488
angles: 75.82 90.00 90.00
Fractional positions:
Ho (0.148, 0.000, 0.000)
Ho (0.852, 0.000, 0.000)
Te (0.358, 0.388, 0.388)
Te (0.642, 0.388, 0.388)
Ru (0.000, 0.507, 0.507)
Ru (0.500, 0.995, 0.995)

## Properties
As for the total magnetization: 0.000 μB per cell. The calculation puts the formation energy from raw total energies at -0.2629 eV/atom. The theoretical density comes out at 9.60 Mg/m³. The space-group type is Amm2, No. 38. As for the crystal system: orthorhombic. The volume is 22.7 Å³/atom. The total energy is -35.57 eV/cell.

Record 2
First-principles (PBE-GGA) data for crystalline Ho2TeRu at its relaxed geometry, as listed in Alexandria.

abc: 7.643 7.643 7.643
angles: 30.83 30.83 30.83
Fractional positions:
Ho (0.237, 0.237, 0.237)
Ho (0.763, 0.763, 0.763)
Te (0.000, 0.000, 0.000)
Ru (0.500, 0.500, 0.500)

## Properties
The relative energy among the computed polymorphs is 0.078 eV/atom. As for the total magnetization: 0.000 μB per cell. The calculation puts the formation energy from raw total energies at -0.6420 eV/atom. The theoretical density comes out at 8.92 Mg/m³. The space-group type is R-3m, No. 166. As for the crystal system: trigonal. The volume is 26.0 Å³/atom. The total energy is -24.14 eV/cell.

Record 3
First-principles (PBE-GGA) data for crystalline Ho4Te2Ru at its relaxed geometry, as listed in Alexandria.

abc: 7.822 12.312 4.232
angles: 90.00 90.00 90.00
Fractional positions:
Ho (0.128, 0.196, 0.000)
Ho (0.207, 0.945, 0.500)
Ho (0.293, 0.445, 0.500)
Ho (0.372, 0.696, 0.000)
Ho (0.628, 0.304, 0.000)
Ho (0.707, 0.555, 0.500)
Ho (0.793, 0.055, 0.500)
Ho (0.872, 0.804, 0.000)
Te (0.075, 0.667, 0.500)
Te (0.425, 0.167, 0.500)
Te (0.575, 0.833, 0.500)
Te (0.925, 0.333, 0.500)
Ru (0.000, 0.000, 0.000)
Ru (0.500, 0.500, 0.000)

## Properties
As for the total magnetization: 0.000 μB per cell. The calculation puts the formation energy from raw total energies at -0.8677 eV/atom. The theoretical density comes out at 8.28 Mg/m³. The space-group type is Pbam, No. 55. As for the crystal system: orthorhombic. The volume is 29.1 Å³/atom. The total energy is -79.89 eV/cell.

Record 4
First-principles (PBE-GGA) data for crystalline Ho4TeRu at its relaxed geometry, as listed in Alexandria.

abc: 9.293 9.293 9.427
angles: 109.24 109.24 33.01
Fractional positions:
Ho (0.017, 0.017, 0.241)
Ho (0.199, 0.199, 0.903)
Ho (0.237, 0.237, 0.303)
Ho (0.399, 0.399, 0.964)
Ho (0.601, 0.601, 0.036)
Ho (0.763, 0.763, 0.697)
Ho (0.801, 0.801, 0.097)
Ho (0.983, 0.983, 0.759)
Te (0.158, 0.158, 0.555)
Te (0.842, 0.842, 0.445)
Ru (0.095, 0.095, 0.050)
Ru (0.905, 0.905, 0.950)

## Properties
The relative energy among the computed polymorphs is 0.277 eV/atom. As for the total magnetization: 0.000 μB per cell. The calculation puts the formation energy from raw total energies at -0.3826 eV/atom. The theoretical density comes out at 7.08 Mg/m³. The space-group type is C2/m, No. 12. As for the crystal system: monoclinic. The volume is 34.7 Å³/atom. The total energy is -66.05 eV/cell.

Record 5
First-principles (PBE-GGA) data for crystalline Ho4TeRu at its relaxed geometry, as listed in Alexandria.

abc: 8.080 4.003 19.371
angles: 90.00 90.00 90.00
Fractional positions:
Ho (0.003, 0.250, 0.068)
Ho (0.047, 0.750, 0.214)
Ho (0.137, 0.750, 0.644)
Ho (0.142, 0.750, 0.454)
Ho (0.358, 0.250, 0.954)
Ho (0.363, 0.250, 0.144)
Ho (0.453, 0.250, 0.714)
Ho (0.497, 0.750, 0.568)
Ho (0.503, 0.250, 0.432)
Ho (0.547, 0.750, 0.286)
Ho (0.637, 0.750, 0.856)
Ho (0.642, 0.750, 0.046)
Ho (0.858, 0.250, 0.546)
Ho (0.863, 0.250, 0.356)
Ho (0.953, 0.250, 0.786)
Ho (0.997, 0.750, 0.932)
Te (0.245, 0.250, 0.309)
Te (0.255, 0.750, 0.809)
Te (0.745, 0.250, 0.191)
Te (0.755, 0.750, 0.691)
Ru (0.245, 0.250, 0.550)
Ru (0.255, 0.750, 0.050)
Ru (0.745, 0.250, 0.950)
Ru (0.755, 0.750, 0.450)

## Properties
The relative energy among the computed polymorphs is 0.000 eV/atom. As for the total magnetization: 0.000 μB per cell. The calculation puts the formation energy from raw total energies at -0.6592 eV/atom. The theoretical density comes out at 9.42 Mg/m³. The space-group type is Pnma, No. 62. As for the crystal system: orthorhombic. The volume is 26.1 Å³/atom. The total energy is -138.74 eV/cell.

Record 6
First-principles (PBE-GGA) data for crystalline Ho8Te2Ru3 at its relaxed geometry, as listed in Alexandria.

abc: 8.997 4.824 8.998
angles: 90.00 114.67 90.00
Fractional positions:
Ho (0.105, 0.000, 0.395)
Ho (0.149, 0.500, 0.863)
Ho (0.362, 0.500, 0.649)
Ho (0.391, 0.000, 0.109)
Ho (0.609, 0.000, 0.891)
Ho (0.638, 0.500, 0.351)
Ho (0.851, 0.500, 0.137)
Ho (0.895, 0.000, 0.605)
Te (0.242, 0.500, 0.259)
Te (0.758, 0.500, 0.741)
Ru (0.251, 0.000, 0.752)
Ru (0.500, 0.500, 0.000)
Ru (0.749, 0.000, 0.248)

## Properties
As for the total magnetization: 0.000 μB per cell. The calculation puts the formation energy from raw total energies at -0.5655 eV/atom. The theoretical density comes out at 8.79 Mg/m³. The space-group type is P2/m, No. 10. As for the crystal system: monoclinic. The volume is 27.3 Å³/atom. The total energy is -78.08 eV/cell.

Record 7
First-principles (PBE-GGA) data for crystalline Ho3TeRu at its relaxed geometry, as listed in Alexandria.

abc: 7.146 7.146 9.978
angles: 99.31 99.31 32.48
Fractional positions:
Ho (0.034, 0.034, 0.360)
Ho (0.245, 0.245, 0.646)
Ho (0.364, 0.364, 0.128)
Ho (0.636, 0.636, 0.872)
Ho (0.755, 0.755, 0.354)
Ho (0.966, 0.966, 0.640)
Te (0.137, 0.137, 0.109)
Te (0.863, 0.863, 0.891)
Ru (0.396, 0.396, 0.425)
Ru (0.604, 0.604, 0.575)

## Properties
The relative energy among the computed polymorphs is 0.030 eV/atom. As for the total magnetization: 0.000 μB per cell. The calculation puts the formation energy from raw total energies at -0.6503 eV/atom. The theoretical density comes out at 8.91 Mg/m³. The space-group type is C2/m, No. 12. As for the crystal system: monoclinic. The volume is 27.0 Å³/atom. The total energy is -58.80 eV/cell.

Record 8
First-principles (PBE-GGA) data for crystalline Ho3TeRu at its relaxed geometry, as listed in Alexandria.

abc: 4.270 6.412 10.655
angles: 103.75 90.03 109.45
Fractional positions:
Ho (0.083, 0.167, 0.387)
Ho (0.346, 0.691, 0.331)
Ho (0.375, 0.750, 0.868)
Ho (0.625, 0.250, 0.132)
Ho (0.654, 0.309, 0.669)
Ho (0.917, 0.833, 0.613)
Te (0.101, 0.203, 0.892)
Te (0.899, 0.797, 0.108)
Ru (0.278, 0.557, 0.606)
Ru (0.722, 0.443, 0.394)

## Properties
The relative energy among the computed polymorphs is 0.000 eV/atom. As for the total magnetization: 0.000 μB per cell. The calculation puts the formation energy from raw total energies at -0.6807 eV/atom. The theoretical density comes out at 9.03 Mg/m³. The space-group type is P-1, No. 2. As for the crystal system: triclinic. The volume is 26.6 Å³/atom. The total energy is -59.11 eV/cell.

Record 9
First-principles (PBE-GGA) data for crystalline Ho6Te3Ru at its relaxed geometry, as listed in Alexandria.

abc: 11.796 3.947 12.672
angles: 90.00 104.72 90.00
Fractional positions:
Ho (0.012, 0.250, 0.350)
Ho (0.078, 0.250, 0.889)
Ho (0.278, 0.750, 0.320)
Ho (0.294, 0.750, 0.762)
Ho (0.407, 0.250, 0.560)
Ho (0.446, 0.750, 0.146)
Ho (0.554, 0.250, 0.854)
Ho (0.593, 0.750, 0.440)
Ho (0.706, 0.250, 0.238)
Ho (0.722, 0.250, 0.680)
Ho (0.922, 0.750, 0.111)
Ho (0.988, 0.750, 0.650)
Te (0.127, 0.250, 0.146)
Te (0.169, 0.750, 0.515)
Te (0.343, 0.250, 0.954)
Te (0.657, 0.750, 0.046)
Te (0.831, 0.250, 0.485)
Te (0.873, 0.750, 0.854)
Ru (0.461, 0.250, 0.315)
Ru (0.539, 0.750, 0.685)

## Properties
As for the total magnetization: 0.000 μB per cell. The calculation puts the formation energy from raw total energies at -0.7933 eV/atom. The theoretical density comes out at 8.57 Mg/m³. The space-group type is P2_1/m, No. 11. As for the crystal system: monoclinic. The volume is 28.5 Å³/atom. The total energy is -108.20 eV/cell.

Record 10
First-principles (PBE-GGA) data for crystalline Ho5Te4Ru at its relaxed geometry, as listed in Alexandria.

abc: 7.504 7.504 7.504
angles: 99.55 99.55 131.94
Fractional positions:
Ho (0.000, 0.000, 0.000)
Ho (0.244, 0.591, 0.835)
Ho (0.409, 0.244, 0.654)
Ho (0.591, 0.756, 0.346)
Ho (0.756, 0.409, 0.165)
Te (0.091, 0.310, 0.402)
Te (0.310, 0.909, 0.219)
Te (0.690, 0.091, 0.781)
Te (0.909, 0.690, 0.598)
Ru (0.500, 0.500, 0.000)

## Properties
As for the total magnetization: 0.000 μB per cell. The calculation puts the formation energy from raw total energies at -1.0868 eV/atom. The theoretical density comes out at 8.31 Mg/m³. The space-group type is I4/m, No. 87. As for the crystal system: tetragonal. The volume is 28.7 Å³/atom. The total energy is -55.60 eV/cell.

Record 11
First-principles (PBE-GGA) data for crystalline Ho3Te2Ru at its relaxed geometry, as listed in Alexandria.

abc: 7.366 7.366 7.207
angles: 99.81 99.81 117.32
Fractional positions:
Ho (0.000, 0.500, 0.000)
Ho (0.130, 0.260, 0.485)
Ho (0.260, 0.130, 0.985)
Ho (0.500, 0.000, 0.500)
Ho (0.740, 0.870, 0.015)
Ho (0.870, 0.740, 0.515)
Te (0.266, 0.734, 0.750)
Te (0.420, 0.580, 0.250)
Te (0.580, 0.420, 0.750)
Te (0.734, 0.266, 0.250)
Ru (0.096, 0.904, 0.250)
Ru (0.904, 0.096, 0.750)

## Properties
As for the total magnetization: 0.000 μB per cell. The calculation puts the formation energy from raw total energies at -0.8880 eV/atom. The theoretical density comes out at 8.61 Mg/m³. The space-group type is C2/c, No. 15. As for the crystal system: monoclinic. The volume is 27.4 Å³/atom. The total energy is -69.24 eV/cell.

Record 12
First-principles (PBE-GGA) data for crystalline Ho7Te2Ru2 at its relaxed geometry, as listed in Alexandria.

abc: 9.381 9.381 9.381
angles: 155.76 65.28 120.42
Fractional positions:
Ho (0.000, 0.000, 0.000)
Ho (0.285, 0.418, 0.867)
Ho (0.309, 0.625, 0.684)
Ho (0.551, 0.418, 0.133)
Ho (0.611, 0.261, 0.350)
Ho (0.911, 0.261, 0.650)
Ho (0.942, 0.625, 0.316)
Te (0.266, 0.766, 0.500)
Te (0.665, 0.665, 0.000)
Ru (0.171, 0.932, 0.239)
Ru (0.693, 0.932, 0.761)

## Properties
As for the total magnetization: 0.001 μB per cell. The calculation puts the formation energy from raw total energies at -0.7153 eV/atom. The theoretical density comes out at 9.23 Mg/m³. The space-group type is Imm2, No. 44. As for the crystal system: orthorhombic. The volume is 26.4 Å³/atom. The total energy is -64.75 eV/cell.

> formation energy from raw total energies of number 11 (Ho3Te2Ru)?

-0.8880 eV/atom

> Which of these has the highest theoretical density?

HoTeRu

Repeat the second record exactly.
First-principles (PBE-GGA) data for crystalline Ho2TeRu at its relaxed geometry, as listed in Alexandria.

abc: 7.643 7.643 7.643
angles: 30.83 30.83 30.83
Fractional positions:
Ho (0.237, 0.237, 0.237)
Ho (0.763, 0.763, 0.763)
Te (0.000, 0.000, 0.000)
Ru (0.500, 0.500, 0.500)

## Properties
The relative energy among the computed polymorphs is 0.078 eV/atom. As for the total magnetization: 0.000 μB per cell. The calculation puts the formation energy from raw total energies at -0.6420 eV/atom. The theoretical density comes out at 8.92 Mg/m³. The space-group type is R-3m, No. 166. As for the crystal system: trigonal. The volume is 26.0 Å³/atom. The total energy is -24.14 eV/cell.

Repeat the third record exactly.
First-principles (PBE-GGA) data for crystalline Ho4Te2Ru at its relaxed geometry, as listed in Alexandria.

abc: 7.822 12.312 4.232
angles: 90.00 90.00 90.00
Fractional positions:
Ho (0.128, 0.196, 0.000)
Ho (0.207, 0.945, 0.500)
Ho (0.293, 0.445, 0.500)
Ho (0.372, 0.696, 0.000)
Ho (0.628, 0.304, 0.000)
Ho (0.707, 0.555, 0.500)
Ho (0.793, 0.055, 0.500)
Ho (0.872, 0.804, 0.000)
Te (0.075, 0.667, 0.500)
Te (0.425, 0.167, 0.500)
Te (0.575, 0.833, 0.500)
Te (0.925, 0.333, 0.500)
Ru (0.000, 0.000, 0.000)
Ru (0.500, 0.500, 0.000)

## Properties
As for the total magnetization: 0.000 μB per cell. The calculation puts the formation energy from raw total energies at -0.8677 eV/atom. The theoretical density comes out at 8.28 Mg/m³. The space-group type is Pbam, No. 55. As for the crystal system: orthorhombic. The volume is 29.1 Å³/atom. The total energy is -79.89 eV/cell.